Crystalline BaCaCeNiO6 at its relaxed geometry, computed with PBE with a Hubbard U.

a b c (Å): 5.7761 5.7761 5.7761
angles (deg): 60.00 60.00 60.00
Fractional coordinates of all 10 atoms:
O (0.7316, 0.2684, 0.7316)
Ce (0.0000, 0.0000, 0.0000)
Ca (0.7500, 0.7500, 0.7500)
Ni (0.5000, 0.5000, 0.5000)
O (0.7316, 0.2684, 0.2684)
Ba (0.2500, 0.2500, 0.2500)
O (0.7316, 0.7316, 0.2684)
O (0.2684, 0.7316, 0.7316)
O (0.2684, 0.7316, 0.2684)
O (0.2684, 0.2684, 0.7316)

Computed properties:
Calculated volume in Å³/f.u.: 136.3
Total energy in eV per atom: -6.45